Material: ZrAgAsBr2
Method: DFT, GGA-PBE
State: relaxed

Values from the calculation:
Space group ... P4/mmm
Crystal system ... tetragonal
Formation energy (no corrections) ... 50 kJ per mole of atoms
Relative energy among the computed polymorphs ... 749.2 meV/atom

Lattice parameters (Å, degrees): 5.100 5.100 5.233 90.00 90.00 90.00
Fractional positions:
As  0.000  0.000  0.500
Br  0.000  0.500  0.000
Br  0.500  0.000  0.000
Zr  0.500  0.500  0.500
Ag  0.000  0.000  0.000

***

Material: NdPuZnPd
Method: DFT, GGA-PBE
State: relaxed

Values from the calculation:
Space group ... F-43m
Crystal system ... cubic
ΔH_f (0 K) ... -0.318 eV per atom

Lattice parameters (Å, degrees): 5.106 5.106 5.106 60.00 60.00 60.00
Fractional positions:
Zn  0.000  0.000  0.000
Nd  0.250  0.250  0.250
Pd  0.500  0.500  0.500
Pu  0.750  0.750  0.750

***

Material: BaCaLa2Ru
Method: DFT, GGA-PBE
State: relaxed

Values from the calculation:
Space group ... P4/mmm
Crystal system ... tetragonal
Relative energy among the computed polymorphs ... 76.5 meV/atom
ΔH_f (0 K) ... -0.042 eV per atom

Lattice parameters (Å, degrees): 5.543 5.543 6.353 90.00 90.00 90.00
Fractional positions:
Ru  0.000  0.000  0.000
Ca  0.500  0.500  0.500
Ba  0.000  0.000  0.500
La  0.000  0.500  0.000
La  0.500  0.000  0.000

***

Material: HfPdOF2
Method: DFT, GGA-PBE
State: relaxed

Values from the calculation:
Space group ... P4/mmm
Crystal system ... tetragonal
Formation energy (no corrections) ... -218 kJ per mole of atoms
Relative energy among the computed polymorphs ... 0.0 meV/atom

Lattice parameters (Å, degrees): 4.191 4.191 4.029 90.00 90.00 90.00
Fractional positions:
Hf  0.000  0.000  0.000
O  0.000  0.000  0.500
Pd  0.500  0.500  0.500
F  0.000  0.500  0.000
F  0.500  0.000  0.000

***

Material: SrSi2IrN
Method: DFT, GGA-PBE
State: relaxed

Values from the calculation:
Space group ... P4/mmm
Crystal system ... tetragonal
Formation energy (no corrections) ... 291 kJ per mole of atoms

Lattice parameters (Å, degrees): 5.780 5.137 5.780 90.00 90.00 90.00
Fractional positions:
Sr  0.000  0.000  0.000
Si  0.000  0.000  0.500
Si  0.500  0.000  0.000
Ir  0.000  0.500  0.000
N  0.500  0.500  0.500

***

Material: BaCoGe
Method: DFT, GGA-PBE
State: relaxed

Values from the calculation:
Space group ... P-6m2
Crystal system ... hexagonal
ΔH_f (0 K) ... -0.165 eV per atom

Lattice parameters (Å, degrees): 5.034 4.128 4.128 120.00 90.00 90.00
Fractional positions:
Ge  0.167  0.000  0.000
Co  0.167  0.667  0.333
Ba  0.667  0.333  0.667

***

Material: TmPaTcRu
Method: DFT, GGA-PBE
State: relaxed

Values from the calculation:
Space group ... P4mm
Crystal system ... tetragonal
Relative energy among the computed polymorphs ... 0.0 meV/atom
ΔH_f (0 K) ... -0.412 eV per atom

Lattice parameters (Å, degrees): 3.421 3.421 6.824 90.00 90.00 90.00
Fractional positions:
Tm  0.000  0.000  0.856
Pa  0.000  0.000  0.356
Tc  0.500  0.500  0.135
Ru  0.500  0.500  0.581

***

Material: SmY3Er6Sc2
Method: DFT, GGA-PBE
State: relaxed

Values from the calculation:
Space group ... C2/m
Crystal system ... monoclinic
ΔH_f (0 K) ... 0.041 eV per atom

Lattice parameters (Å, degrees): 6.046 6.046 11.586 94.98 94.98 119.95
Fractional positions:
Sm  0.000  0.000  0.000
Y  0.167  0.833  0.500
Y  0.833  0.167  0.500
Y  0.500  0.500  0.500
Er  0.918  0.582  0.755
Er  0.746  0.746  0.245
Er  0.082  0.418  0.245
Er  0.582  0.918  0.755
Er  0.254  0.254  0.755
Er  0.418  0.082  0.245
Sc  0.333  0.667  0.000
Sc  0.667  0.333  0.000

***

Material: BaY2AlOs
Method: DFT, GGA-PBE
State: relaxed

Values from the calculation:
Space group ... P4/mmm
Crystal system ... tetragonal
ΔH_f (0 K) ... -0.097 eV per atom

Lattice parameters (Å, degrees): 5.449 5.449 5.076 90.00 90.00 90.00
Fractional positions:
Y  0.000  0.500  0.000
Y  0.500  0.000  0.000
Os  0.000  0.000  0.000
Ba  0.500  0.500  0.500
Al  0.000  0.000  0.500

***

Material: CaZrIn2
Method: DFT, GGA-PBE
State: relaxed

Values from the calculation:
Space group ... Pmm2
Crystal system ... orthorhombic
ΔH_f (0 K) ... -0.050 eV per atom

Lattice parameters (Å, degrees): 3.531 4.785 6.265 90.00 90.00 90.00
Fractional positions:
Ca  0.500  0.500  0.777
Zr  0.000  0.000  0.456
In  0.000  0.000  0.972
In  0.500  0.500  0.294

***

Material: Pm3Tl3Cu2
Method: DFT, GGA-PBE
State: relaxed

Values from the calculation:
Space group ... P-1
Crystal system ... triclinic
ΔH_f (0 K) ... -0.260 eV per atom

Lattice parameters (Å, degrees): 4.612 4.942 9.323 74.02 75.57 90.00
Fractional positions:
Pm  0.348  0.839  0.305
Pm  0.500  0.500  0.000
Pm  0.652  0.161  0.695
Tl  0.853  0.350  0.297
Tl  0.147  0.650  0.703
Tl  0.000  0.000  0.000
Cu  0.741  0.759  0.515
Cu  0.259  0.241  0.485

***

Material: Tb8Pr4Sm
Method: DFT, GGA-PBE
State: relaxed

Values from the calculation:
Space group ... R-3m
Crystal system ... trigonal
ΔH_f (0 K) ... 0.514 eV per atom

Lattice parameters (Å, degrees): 7.867 7.867 7.867 90.12 90.12 90.12
Fractional positions:
Tb  0.239  0.760  0.239
Tb  0.761  0.761  0.240
Tb  0.761  0.240  0.761
Tb  0.240  0.761  0.761
Tb  0.761  0.761  0.761
Tb  0.239  0.239  0.239
Tb  0.760  0.239  0.239
Tb  0.239  0.239  0.760
Pr  0.500  0.000  0.500
Pr  0.000  0.500  0.500
Pr  0.500  0.500  0.000
Pr  0.000  0.000  0.000
Sm  0.500  0.500  0.500

***

Number 1: electronic total energy -3.36 eV/atom, theoretical density 5.29 g cm⁻³. Number 2: electronic total energy -6.71 eV/atom, theoretical density 9.88 g cm⁻³. Number 3: electronic total energy -4.65 eV/atom, theoretical density 4.73 g cm⁻³. Number 4: electronic total energy -7.03 eV/atom, theoretical density 7.95 g cm⁻³. Number 5: electronic total energy -2.92 eV/atom, theoretical density 3.39 g cm⁻³. Number 6: electronic total energy -4.71 eV/atom, theoretical density 6.01 g cm⁻³. Number 7: electronic total energy -8.81 eV/atom, theoretical density 12.46 g cm⁻³. Number 8: electronic total energy -5.30 eV/atom, theoretical density 6.94 g cm⁻³. Number 9: electronic total energy -6.06 eV/atom, theoretical density 5.86 g cm⁻³. Number 10: electronic total energy -4.06 eV/atom, theoretical density 5.66 g cm⁻³. Number 11: electronic total energy -3.95 eV/atom, theoretical density 9.89 g cm⁻³. Number 12: electronic total energy -4.17 eV/atom, theoretical density 6.77 g cm⁻³.